NdTa2N4: relaxed, PBE-GGA.

The value obtained for the raw total energy is -282.220 eV per cell.

It has space group Cmcm (No. 63), with a = 3.1711 Å, b = 10.2861 Å, c = 10.4806 Å, α = 90.00°, β = 90.00° and γ = 90.00°. The inequivalent atoms are Nd at (0.0000, 0.1167, 0.2500), Ta at (0.0000, 0.3709, 0.0659), N at (0.0000, 0.0000, 0.0000), N at (0.0000, 0.2650, 0.6084) and N at (0.0000, 0.4326, 0.2500).



NaSnHg3Te4: relaxed, PBE-GGA.

The distance to the lowest polymorph of the same formula is 0 meV/atom.

It has space group P-43m (No. 215), with a = 7.0715 Å, b = 7.0715 Å, c = 7.0715 Å, α = 90.00°, β = 90.00° and γ = 90.00°. The inequivalent atoms are Na at (0.0000, 0.0000, 0.0000), Sn at (0.5000, 0.5000, 0.5000), Hg at (0.0000, 0.5000, 0.5000) and Te at (0.2539, 0.2539, 0.2539).